BaLa2MgOs: relaxed, PBE.

Unit cell a=5.5922 b=5.5922 c=5.5469 alpha=90.00 beta=90.00 gamma=90.00
Space group P4/mmm (No. 123)
Asymmetric unit:
Ba 0.0000 0.0000 0.0000 (multiplicity 1)
La 0.0000 0.5000 0.5000 (multiplicity 2)
Mg 0.5000 0.5000 0.0000 (multiplicity 1)
Os 0.5000 0.5000 0.5000 (multiplicity 1)

Summary:
**ΔE_f**: -18.3 meV/atom
**Total energy**: -24.69 eV for the cell shown
**Size of the total moment**: 0.0 Bohr magnetons per cell
**DOS(E_F)**: 5.25 states/eV per cell

---

Ac2MgGa4Ni3: relaxed, PBE.

Unit cell a=4.3070 b=4.3070 c=10.7594 alpha=90.00 beta=90.00 gamma=90.00
Space group P-4m2 (No. 115)
Asymmetric unit:
Ac 0.0000 0.5000 0.2351 (multiplicity 2)
Mg 0.0000 0.0000 0.5000 (multiplicity 1)
Ga 0.0000 0.0000 0.0000 (multiplicity 1)
Ga 0.0000 0.5000 0.6449 (multiplicity 2)
Ga 0.5000 0.5000 0.0000 (multiplicity 1)
Ni 0.0000 0.5000 0.8778 (multiplicity 2)
Ni 0.5000 0.5000 0.5000 (multiplicity 1)

Summary:
**ΔE_f**: -443.8 meV/atom
**Total energy**: -43.70 eV for the cell shown
**Size of the total moment**: 0.0 Bohr magnetons per cell
**DOS(E_F)**: 8.21 states/eV per cell

---

La4Dy8Er: relaxed, PBE.

Unit cell a=11.0624 b=11.0624 c=13.4874 alpha=90.00 beta=90.00 gamma=120.00
Space group R-3m (No. 166, hexagonal axes)
Asymmetric unit:
La 0.0000 0.0000 0.0000 (multiplicity 3)
La 0.0000 0.5000 0.0000 (multiplicity 9)
Dy 0.0000 0.0000 0.2393 (multiplicity 6)
Dy 0.0135 0.5068 0.7457 (multiplicity 18)
Er 0.0000 0.0000 0.5000 (multiplicity 3)

Summary:
**ΔE_f**: 539.4 meV/atom
**Total energy**: -162.23 eV for the cell shown
**Size of the total moment**: 11.9 Bohr magnetons per cell
**DOS(E_F)**: 72.60 states/eV per cell